No. 1
Entry from Alexandria via LeMat-Bulk: a geometry-optimized Tm2BiI2 structure (PBE-GGA).

a = 11.5689 Å, b = 11.5689 Å, c = 11.5689 Å
α = 21.65°, β = 21.65°, γ = 21.65°
With the nearest neighbours (Å) after each atom.
Sites, in units of the cell vectors:
Tm: 0.1160 0.1160 0.1160  3 Bi 3.04, 3 I 3.14
Tm: 0.8840 0.8840 0.8840  3 Bi 3.04, 3 I 3.14
Bi: 0.5000 0.5000 0.5000  6 Tm 3.04
I: 0.2732 0.2732 0.2732  3 Tm 3.14
I: 0.7268 0.7268 0.7268  3 Tm 3.14

Summary:
- space group = R-3m

No. 2
Entry from Alexandria via LeMat-Bulk: a geometry-optimized UBiI6 structure (PBE-GGA).

a = 7.7190 Å, b = 7.7295 Å, c = 8.3164 Å
α = 62.35°, β = 62.37°, γ = 60.09°
With the nearest neighbours (Å) after each atom.
Sites, in units of the cell vectors:
U: 0.0000 0.0000 0.0000  6 I 3.10
Bi: 0.5000 0.5000 0.5000  6 I 3.15
I: 0.0788 0.4160 0.7537  1 U 3.10, 1 Bi 3.15
I: 0.2484 0.9210 0.2469  1 U 3.10, 1 Bi 3.15
I: 0.4160 0.7509 0.7544  1 U 3.10, 1 Bi 3.15
I: 0.5840 0.2491 0.2456  1 U 3.10, 1 Bi 3.15
I: 0.7516 0.0790 0.7531  1 U 3.10, 1 Bi 3.15
I: 0.9212 0.5840 0.2463  1 U 3.10, 1 Bi 3.15

Summary:
- space group = P-1

Calculated uncorrected formation energy (eV per atom), listed in the same order as above: -1.04; -0.58
Calculated magnetization (μB/cell), listed in the same order as above: 0.00; 3.01